Record 1
Compound: CsH7Ru2
Source: the Alexandria database
Functional: PBE-GGA
Structure: optimized geometry

Lattice parameters (Å, degrees): 5.530 10.396 3.406 90.00 90.00 90.00
Space group Cmmm (No. 65)
Inequivalent atoms, fractional coordinates:
Cs  0.000  0.000  0.000
H  0.000  0.359  0.000
H  0.000  0.500  0.500
H  0.194  0.165  0.500
Ru  0.000  0.306  0.500

## Properties
final energy	-0.1510	Ha/atom

Record 2
Compound: Na2TbSn9
Source: the Alexandria database
Functional: PBE-GGA
Structure: optimized geometry

Lattice parameters (Å, degrees): 4.672 4.672 14.532 90.00 90.00 90.00
Space group P4/mmm (No. 123)
Inequivalent atoms, fractional coordinates:
Na  0.000  0.000  0.168
Tb  0.000  0.000  0.500
Sn  0.000  0.500  0.000
Sn  0.000  0.500  0.333
Sn  0.500  0.500  0.164
Sn  0.500  0.500  0.500

## Properties
final energy	-0.1406	Ha/atom

Record 3
Compound: HfZn2Au
Source: the Alexandria database
Functional: PBE-GGA
Structure: optimized geometry

Lattice parameters (Å, degrees): 4.032 4.032 4.285 90.00 90.00 90.00
Space group P4/mmm (No. 123)
Inequivalent atoms, fractional coordinates:
Hf  0.000  0.000  0.000
Zn  0.000  0.500  0.500
Au  0.500  0.500  0.000

## Properties
final energy	-0.1543	Ha/atom

Record 4
Compound: SCl2O
Source: the Alexandria database
Functional: PBE-GGA
Structure: optimized geometry

Lattice parameters (Å, degrees): 12.967 4.864 6.944 90.00 105.43 90.00
Space group C2/c (No. 15)
Inequivalent atoms, fractional coordinates:
S  0.000  0.102  0.250
Cl  0.136  0.000  0.068
O  0.000  0.397  0.250

## Properties
energy relative to the elements, uncorrected	-0.46	eV per atom
ΔE to the lowest computed polymorph	0.1239	eV/atom

Record 5
Compound: Sr3ZnPt3
Source: the Alexandria database
Functional: PBE-GGA
Structure: optimized geometry

Lattice parameters (Å, degrees): 4.405 11.025 14.439 90.00 90.00 90.00
Space group Cmcm (No. 63)
Inequivalent atoms, fractional coordinates:
Sr  0.000  0.000  0.250
Sr  0.000  0.283  0.105
Zn  0.000  0.000  0.000
Pt  0.000  0.303  0.750
Pt  0.000  0.427  0.583

## Properties
final energy	-0.1577	Ha/atom

Record 6
Compound: Ga12Sb5Te3
Source: the Alexandria database
Functional: PBE-GGA
Structure: optimized geometry

Lattice parameters (Å, degrees): 16.789 16.789 16.789 90.00 90.00 90.00
Space group Ia-3d (No. 230)
Inequivalent atoms, fractional coordinates:
Ga  0.009  0.069  0.656
Sb  0.000  0.000  0.000
Sb  0.000  0.250  0.375
Te  0.000  0.250  0.125

## Properties
energy relative to the elements, uncorrected	0.10	eV per atom

Record 7
Compound: Pa2FePt
Source: the Alexandria database
Functional: PBE-GGA
Structure: optimized geometry

Lattice parameters (Å, degrees): 3.0765 3.0765 29.0879 90.00 90.00 120.00
Space group R-3m (No. 166, hexagonal axes)
Inequivalent atoms, fractional coordinates:
Pa  0.0000  0.0000  0.0938
Fe  0.0000  0.0000  0.5000
Pt  0.0000  0.0000  0.0000

## Properties
ΔE to the lowest computed polymorph	0.4206	eV/atom

Record 8
Compound: Tb4Pr5Tm
Source: the Alexandria database
Functional: PBE-GGA
Structure: optimized geometry

Lattice parameters (Å, degrees): 3.630 9.588 10.288 74.37 89.95 79.11
Space group P-1 (No. 2)
Inequivalent atoms, fractional coordinates:
Tb  0.100  0.300  0.294
Tb  0.301  0.899  0.900
Pr  0.099  0.302  0.806
Pr  0.300  0.901  0.400
Pr  0.500  0.500  0.500
Tm  0.500  0.500  0.000

## Properties
ΔE to the lowest computed polymorph	0.0000	eV/atom

Record 9
Compound: RbAgBrF2
Source: the Alexandria database
Functional: PBE-GGA
Structure: optimized geometry

Lattice parameters (Å, degrees): 4.370 4.370 8.015 90.00 90.00 90.00
Space group P4/mmm (No. 123)
Inequivalent atoms, fractional coordinates:
Rb  0.000  0.000  0.000
Ag  0.000  0.000  0.500
Br  0.500  0.500  0.000
F  0.000  0.500  0.500

## Properties
energy relative to the elements, uncorrected	-1.19	eV per atom
ΔE to the lowest computed polymorph	0.2489	eV/atom

Record 10
Compound: Mn2NiBr8
Source: the Alexandria database
Functional: PBE-GGA
Structure: optimized geometry

Lattice parameters (Å, degrees): 20.367 3.535 9.335 90.00 90.05 90.00
Space group C2/m (No. 12)
Inequivalent atoms, fractional coordinates:
Mn  0.155  0.000  0.292
Ni  0.000  0.500  0.000
Br  0.025  0.000  0.823
Br  0.101  0.500  0.453
Br  0.115  0.500  0.071
Br  0.247  0.500  0.265

## Properties
energy relative to the elements, uncorrected	-0.47	eV per atom

Record 11
Compound: TaIr2Br
Source: the Alexandria database
Functional: PBE-GGA
Structure: optimized geometry

Lattice parameters (Å, degrees): 5.732 7.959 2.921 90.00 90.00 90.00
Space group Cmmm (No. 65)
Inequivalent atoms, fractional coordinates:
Ta  0.000  0.000  0.000
Ir  0.250  0.250  0.500
Br  0.000  0.500  0.000

## Properties
energy relative to the elements, uncorrected	0.63	eV per atom
ΔE to the lowest computed polymorph	0.6757	eV/atom

Record 12
Compound: SrTlAu2
Source: the Alexandria database
Functional: PBE-GGA
Structure: optimized geometry

Lattice parameters (Å, degrees): 5.031 5.031 4.103 90.00 90.00 90.00
Space group P4/mmm (No. 123)
Inequivalent atoms, fractional coordinates:
Sr  0.000  0.000  0.000
Tl  0.500  0.500  0.000
Au  0.000  0.500  0.500

## Properties
final energy	-0.1136	Ha/atom

Record 13
Compound: Tb8Pr3Sm3
Source: the Alexandria database
Functional: PBE-GGA
Structure: optimized geometry

Lattice parameters (Å, degrees): 5.721 10.875 15.236 90.00 90.00 90.00
Space group Immm (No. 71)
Inequivalent atoms, fractional coordinates:
Tb  0.000  0.160  0.103
Tb  0.000  0.339  0.280
Pr  0.000  0.000  0.315
Pr  0.000  0.500  0.000
Sm  0.000  0.201  0.500
Sm  0.000  0.500  0.500

## Properties
final energy	-0.1682	Ha/atom

Record 14
Compound: ZrCuW2
Source: the Alexandria database
Functional: PBE-GGA
Structure: optimized geometry

Lattice parameters (Å, degrees): 3.310 4.380 4.595 90.00 90.00 90.00
Space group Pmmm (No. 47)
Inequivalent atoms, fractional coordinates:
Zr  0.000  0.000  0.000
Cu  0.500  0.500  0.000
W  0.000  0.500  0.500
W  0.500  0.000  0.500

## Properties
ΔE to the lowest computed polymorph	0.0632	eV/atom

Record 15
Compound: Er8AlC4
Source: the Alexandria database
Functional: PBE-GGA
Structure: optimized geometry

Lattice parameters (Å, degrees): 17.251 3.581 11.809 90.00 131.76 90.00
Space group C2/m (No. 12)
Inequivalent atoms, fractional coordinates:
Er  0.042  0.000  0.236
Er  0.134  0.500  0.092
Er  0.161  0.500  0.836
Er  0.200  0.500  0.564
Al  0.000  0.000  0.500
C  0.149  0.000  0.965
C  0.167  0.500  0.329

## Properties
final energy	-0.2284	Ha/atom

Record 16
Compound: BaAcH3
Source: the Alexandria database
Functional: PBE-GGA
Structure: optimized geometry

Lattice parameters (Å, degrees): 4.822 4.822 4.822 90.00 90.00 90.00
Space group Pm-3m (No. 221)
Inequivalent atoms, fractional coordinates:
Ba  0.000  0.000  0.000
Ac  0.500  0.500  0.500
H  0.000  0.500  0.500

## Properties
final energy	-0.1271	Ha/atom

Record 17
Compound: K2HoInI6
Source: the Alexandria database
Functional: PBE-GGA
Structure: optimized geometry

Lattice parameters (Å, degrees): 8.6327 8.6327 22.3535 90.00 90.00 120.00
Space group R3 (No. 146, hexagonal axes)
Inequivalent atoms, fractional coordinates:
K  0.0000  0.0000  0.0000
K  0.0000  0.0000  0.4892
Ho  0.0000  0.0000  0.6935
In  0.0000  0.0000  0.2012
I  0.0220  0.4002  0.4355
I  0.0671  0.6964  0.2777

## Properties
energy relative to the elements, uncorrected	-1.24	eV per atom

Record 18
Compound: ScTa2Mo
Source: the Alexandria database
Functional: PBE-GGA
Structure: optimized geometry

Lattice parameters (Å, degrees): 7.477 7.477 5.680 90.00 90.00 90.00
Space group I-42d (No. 122)
Inequivalent atoms, fractional coordinates:
Sc  0.000  0.000  0.000
Ta  0.218  0.250  0.625
Mo  0.000  0.000  0.500

## Properties
ΔE to the lowest computed polymorph	0.5947	eV/atom

Record 19
Compound: InSb2TeIr
Source: the Alexandria database
Functional: PBE-GGA
Structure: optimized geometry

Lattice parameters (Å, degrees): 5.400 5.400 5.486 90.00 90.00 90.00
Space group P4/mmm (No. 123)
Inequivalent atoms, fractional coordinates:
In  0.000  0.000  0.000
Sb  0.000  0.500  0.000
Te  0.000  0.000  0.500
Ir  0.500  0.500  0.500

## Properties
energy relative to the elements, uncorrected	1.58	eV per atom
ΔE to the lowest computed polymorph	1.2257	eV/atom

Record 20
Compound: Hf2Bi2Se
Source: the Alexandria database
Functional: PBE-GGA
Structure: optimized geometry

Lattice parameters (Å, degrees): 7.641 7.641 4.177 90.00 90.00 90.00
Space group P4/mbm (No. 127)
Inequivalent atoms, fractional coordinates:
Hf  0.153  0.347  0.000
Bi  0.148  0.648  0.500
Se  0.000  0.000  0.000

## Properties
energy relative to the elements, uncorrected	-0.28	eV per atom
ΔE to the lowest computed polymorph	0.0000	eV/atom

Record 21
Compound: AsPS2N
Source: the Alexandria database
Functional: PBE-GGA
Structure: optimized geometry

Lattice parameters (Å, degrees): 4.726 4.726 4.974 90.00 90.00 90.00
Space group P4/mmm (No. 123)
Inequivalent atoms, fractional coordinates:
As  0.000  0.000  0.000
P  0.000  0.000  0.500
S  0.000  0.500  0.000
N  0.500  0.500  0.500

## Properties
energy relative to the elements, uncorrected	1.81	eV per atom
ΔE to the lowest computed polymorph	1.1894	eV/atom

Number 1: spin magnetization 0.43 μB per cell. Number 2: spin magnetization 0.00 μB per cell. Number 3: spin magnetization 0.00 μB per cell. Number 4: spin magnetization 0.00 μB per cell. Number 5: spin magnetization 0.00 μB per cell. Number 6: spin magnetization 0.00 μB per cell. Number 7: spin magnetization 1.11 μB per cell. Number 8: spin magnetization 0.00 μB per cell. Number 9: spin magnetization 0.00 μB per cell. Number 10: spin magnetization 20.03 μB per cell. Number 11: spin magnetization 0.00 μB per cell. Number 12: spin magnetization 0.00 μB per cell. Number 13: spin magnetization 0.00 μB per cell. Number 14: spin magnetization 0.00 μB per cell. Number 15: spin magnetization 0.02 μB per cell. Number 16: spin magnetization 0.86 μB per cell. Number 17: spin magnetization 0.00 μB per cell. Number 18: spin magnetization 0.00 μB per cell. Number 19: spin magnetization 0.00 μB per cell. Number 20: spin magnetization 0.00 μB per cell. Number 21: spin magnetization 1.32 μB per cell.